[1]
DyHo2AgHg4: optimized geometry, PBE-GGA.

The structure in CIF format:
```
data_DyHo2AgHg4
_chemical_formula_sum 'Dy3 Ho6 Ag3 Hg12'
_space_group_name_H-M_alt 'R -3 m'
_space_group_IT_number 166
_space_group_name_Hall '-R 3 2"'
_cell_length_a 5.1016
_cell_length_b 5.1016
_cell_length_c 25.7158
_cell_angle_alpha 90.00
_cell_angle_beta 90.00
_cell_angle_gamma 120.00
loop_
_atom_site_label
_atom_site_type_symbol
_atom_site_fract_x
_atom_site_fract_y
_atom_site_fract_z
Dy1 Dy 0.0000 0.0000 0.0000
Ho1 Ho 0.0000 0.0000 0.2423
Ag1 Ag 0.0000 0.0000 0.5000
Hg1 Hg 0.0000 0.0000 0.1236
Hg2 Hg 0.0000 0.0000 0.3731
```

Computed properties:
Formation energy from the elements   -37.7 kJ/mol of atoms
DOS at the Fermi energy   6.360 states/eV/f.u.

---

[2]
DyInAgHg: optimized geometry, PBE-GGA.

The structure in CIF format:
```
data_DyInAgHg
_chemical_formula_sum 'Dy4 In4 Ag4 Hg4'
_space_group_name_H-M_alt 'F -4 3 m'
_space_group_IT_number 216
_space_group_name_Hall 'F -4 2 3'
_cell_length_a 7.1400
_cell_length_b 7.1400
_cell_length_c 7.1400
_cell_angle_alpha 90.00
_cell_angle_beta 90.00
_cell_angle_gamma 90.00
loop_
_atom_site_label
_atom_site_type_symbol
_atom_site_fract_x
_atom_site_fract_y
_atom_site_fract_z
Dy1 Dy 0.0000 0.0000 0.0000
In1 In 0.0000 0.0000 0.5000
Ag1 Ag 0.2500 0.2500 0.7500
Hg1 Hg 0.2500 0.2500 0.2500
```

Computed properties:
Formation energy from the elements   -32.8 kJ/mol of atoms
DOS at the Fermi energy   2.365 states/eV/f.u.

---

[3]
Dy4InAgHg2: optimized geometry, PBE-GGA.

The structure in CIF format:
```
data_Dy4InAgHg2
_chemical_formula_sum 'Dy12 In3 Ag3 Hg6'
_space_group_name_H-M_alt 'R -3 m'
_space_group_IT_number 166
_space_group_name_Hall '-R 3 2"'
_cell_length_a 5.2433
_cell_length_b 5.2433
_cell_length_c 25.7790
_cell_angle_alpha 90.00
_cell_angle_beta 90.00
_cell_angle_gamma 120.00
loop_
_atom_site_label
_atom_site_type_symbol
_atom_site_fract_x
_atom_site_fract_y
_atom_site_fract_z
Dy1 Dy 0.0000 0.0000 0.1223
Dy2 Dy 0.0000 0.0000 0.3727
In1 In 0.0000 0.0000 0.5000
Ag1 Ag 0.0000 0.0000 0.0000
Hg1 Hg 0.0000 0.0000 0.2495
```

Computed properties:
Formation energy from the elements   -41.3 kJ/mol of atoms
DOS at the Fermi energy   7.273 states/eV/f.u.

---

| no. | final energy (eV/f.u.) |
| --- | --- |
| 1 | -20.9 |
| 2 | -11.9 |
| 3 | -28.0 |